1.
Material: Pd2RuRh5
Method: DFT, GGA-PBE
State: relaxed

Unit cell a=3.858 b=3.858 c=15.507 alpha=90.00 beta=90.00 gamma=90.00
Space group I4/mmm (No. 139)
One atom of each set of equivalent atoms:
Pd1 0.000 0.000 0.249 [4 per cell]
Ru1 0.000 0.000 0.500 [2 per cell]
Rh1 0.000 0.000 0.000 [2 per cell]
Rh2 0.000 0.500 0.120 [8 per cell]

Computed properties:
VASP energy = -112.20 eV/cell

***

2.
Material: PdRuRh
Method: DFT, GGA-PBE
State: relaxed

Unit cell a=2.7258 b=2.7258 c=6.7374 alpha=90.00 beta=90.00 gamma=120.00
Space group P3m1 (No. 156)
One atom of each set of equivalent atoms:
Pd1 0.0000 0.0000 0.0000 [1 per cell]
Ru1 0.6667 0.3333 0.3370 [1 per cell]
Rh1 0.3333 0.6667 0.6533 [1 per cell]

Computed properties:
energy above the most stable polymorph in this dataset = 5.0 kJ/mol of atoms

***

3.
Material: Pd2RuRh
Method: DFT, GGA-PBE
State: relaxed

Unit cell a=6.199 b=6.199 c=6.199 alpha=90.00 beta=90.00 gamma=90.00
Space group Fm-3m (No. 225)
One atom of each set of equivalent atoms:
Pd1 0.250 0.250 0.250 [8 per cell]
Ru1 0.000 0.000 0.000 [4 per cell]
Rh1 0.000 0.000 0.500 [4 per cell]

Computed properties:
energy above the most stable polymorph in this dataset = 30.5 kJ/mol of atoms

***

4.
Material: PdRuRh3
Method: DFT, GGA-PBE
State: relaxed

Unit cell a=4.621 b=4.621 c=4.621 alpha=90.00 beta=90.00 gamma=90.00
Space group Pm-3m (No. 221)
One atom of each set of equivalent atoms:
Pd1 0.000 0.000 0.000 [1 per cell]
Ru1 0.500 0.500 0.500 [1 per cell]
Rh1 0.000 0.500 0.500 [3 per cell]

Computed properties:
energy above the most stable polymorph in this dataset = 114.8 kJ/mol of atoms

***

5.
Material: PdRuRh
Method: DFT, GGA-PBE
State: relaxed

Unit cell a=2.727 b=2.727 c=11.695 alpha=90.00 beta=90.00 gamma=90.00
Space group I4mm (No. 107)
One atom of each set of equivalent atoms:
Pd1 0.000 0.000 0.000 [2 per cell]
Ru1 0.000 0.000 0.670 [2 per cell]
Rh1 0.000 0.000 0.323 [2 per cell]

Computed properties:
energy above the most stable polymorph in this dataset = 6.0 kJ/mol of atoms

***

6.
Material: PdRu2Rh2
Method: DFT, GGA-PBE
State: relaxed

Unit cell a=7.436 b=7.436 c=2.730 alpha=90.00 beta=90.00 gamma=90.00
Space group P4/mbm (No. 127)
One atom of each set of equivalent atoms:
Pd1 0.000 0.000 0.000 [2 per cell]
Ru1 0.173 0.327 0.500 [4 per cell]
Rh1 0.123 0.623 0.000 [4 per cell]

Computed properties:
energy above the most stable polymorph in this dataset = 1.9 kJ/mol of atoms

***

no.,magnetic moment (μB/atom)
1,0.000
2,0.000
3,0.000
4,0.000
5,0.000
6,0.000